Density functional theory data (PBE-GGA) for a relaxed structure of LiTbSeS.

```
data_LiTbSeS
_chemical_formula_sum 'Li3 Tb3 Se3 S3'
_cell_length_a 4.0117
_cell_length_b 4.0117
_cell_length_c 19.0165
_cell_angle_alpha 90.00
_cell_angle_beta 90.00
_cell_angle_gamma 120.00
_symmetry_space_group_name_H-M 'R 3 m'
_symmetry_Int_Tables_number 160
_symmetry_space_group_name_Hall 'R 3 -2"'
loop_
_atom_site_label
_atom_site_type_symbol
_atom_site_fract_x
_atom_site_fract_y
_atom_site_fract_z
_atom_site_occupancy
Li1 Li 0.0000 0.0000 0.0000 1
Tb1 Tb 0.0000 0.0000 0.5048 1
Se1 Se 0.0000 0.0000 0.7482 1
S1 S 0.0000 0.0000 0.2498 1
```

Computed properties:
DOS at the Fermi energy: 0.00 states/eV per cell
Energy: -5.30 eV per atom



Density functional theory data (PBE-GGA) for a relaxed structure of LiTiSeS.

```
data_LiTiSeS
_chemical_formula_sum 'Li3 Ti3 Se3 S3'
_cell_length_a 3.5427
_cell_length_b 3.5427
_cell_length_c 19.6484
_cell_angle_alpha 90.00
_cell_angle_beta 90.00
_cell_angle_gamma 120.00
_symmetry_space_group_name_H-M 'R 3 m'
_symmetry_Int_Tables_number 160
_symmetry_space_group_name_Hall 'R 3 -2"'
loop_
_atom_site_label
_atom_site_type_symbol
_atom_site_fract_x
_atom_site_fract_y
_atom_site_fract_z
_atom_site_occupancy
Li1 Li 0.0000 0.0000 0.0000 1
Ti1 Ti 0.0000 0.0000 0.8203 1
Se1 Se 0.0000 0.0000 0.2346 1
S1 S 0.0000 0.0000 0.4143 1
```

Computed properties:
DOS at the Fermi energy: 5.43 states/eV per cell
Energy: -5.63 eV per atom



Density functional theory data (PBE-GGA) for a relaxed structure of LiUSeS2.

```
data_LiUSeS2
_chemical_formula_sum 'Li4 U4 Se4 S8'
_cell_length_a 3.7130
_cell_length_b 12.4405
_cell_length_c 8.8758
_cell_angle_alpha 90.00
_cell_angle_beta 90.00
_cell_angle_gamma 90.00
_symmetry_space_group_name_H-M 'C m c m'
_symmetry_Int_Tables_number 63
_symmetry_space_group_name_Hall '-C 2c 2'
loop_
_atom_site_label
_atom_site_type_symbol
_atom_site_fract_x
_atom_site_fract_y
_atom_site_fract_z
_atom_site_occupancy
Li1 Li 0.0000 0.0000 0.0000 1
U1 U 0.0000 0.2411 0.2500 1
Se1 Se 0.0000 0.0934 0.7500 1
S1 S 0.0000 0.3495 0.5687 1
```

Computed properties:
DOS at the Fermi energy: 9.26 states/eV per cell
Energy: -6.18 eV per atom



Density functional theory data (PBE-GGA) for a relaxed structure of LiUSeS.

```
data_LiUSeS
_chemical_formula_sum 'Li3 U3 Se3 S3'
_cell_length_a 3.9051
_cell_length_b 3.9051
_cell_length_c 19.5691
_cell_angle_alpha 90.00
_cell_angle_beta 90.00
_cell_angle_gamma 120.00
_symmetry_space_group_name_H-M 'R 3 m'
_symmetry_Int_Tables_number 160
_symmetry_space_group_name_Hall 'R 3 -2"'
loop_
_atom_site_label
_atom_site_type_symbol
_atom_site_fract_x
_atom_site_fract_y
_atom_site_fract_z
_atom_site_occupancy
Li1 Li 0.0000 0.0000 0.0000 1
U1 U 0.0000 0.0000 0.5074 1
Se1 Se 0.0000 0.0000 0.7488 1
S1 S 0.0000 0.0000 0.2558 1
```

Computed properties:
DOS at the Fermi energy: 10.01 states/eV per cell
Energy: -6.48 eV per atom



Density functional theory data (PBE-GGA) for a relaxed structure of LiY2SeS.

```
data_LiY2SeS
_chemical_formula_sum 'Li1 Y2 Se1 S1'
_cell_length_a 5.4069
_cell_length_b 5.4069
_cell_length_c 4.2900
_cell_angle_alpha 90.00
_cell_angle_beta 90.00
_cell_angle_gamma 90.00
_symmetry_space_group_name_H-M 'P 4/m m m'
_symmetry_Int_Tables_number 123
_symmetry_space_group_name_Hall '-P 4 2'
loop_
_atom_site_label
_atom_site_type_symbol
_atom_site_fract_x
_atom_site_fract_y
_atom_site_fract_z
_atom_site_occupancy
Li1 Li 0.0000 0.0000 0.0000 1
Y1 Y 0.0000 0.5000 0.5000 1
Se1 Se 0.0000 0.0000 0.5000 1
S1 S 0.5000 0.5000 0.0000 1
```

Computed properties:
DOS at the Fermi energy: 5.57 states/eV per cell
Energy: -5.19 eV per atom



Density functional theory data (PBE-GGA) for a relaxed structure of LiZrSeS.

```
data_LiZrSeS
_chemical_formula_sum 'Li3 Zr3 Se3 S3'
_cell_length_a 3.6710
_cell_length_b 3.6710
_cell_length_c 21.2198
_cell_angle_alpha 90.00
_cell_angle_beta 90.00
_cell_angle_gamma 120.00
_symmetry_space_group_name_H-M 'R 3 m'
_symmetry_Int_Tables_number 160
_symmetry_space_group_name_Hall 'R 3 -2"'
loop_
_atom_site_label
_atom_site_type_symbol
_atom_site_fract_x
_atom_site_fract_y
_atom_site_fract_z
_atom_site_occupancy
Li1 Li 0.0000 0.0000 0.0000 1
Zr1 Zr 0.0000 0.0000 0.4677 1
Se1 Se 0.0000 0.0000 0.8807 1
S1 S 0.0000 0.0000 0.7243 1
```

Computed properties:
DOS at the Fermi energy: 4.79 states/eV per cell
Energy: -5.92 eV per atom